No. 1
K2TaAuSe4: optimized geometry, GGA-PBE.

For the raw total energy, the calculation gives -4.79 eV/atom. Its volume is 2041.4 Å³/cell.

The structure belongs to space group Fddd (No. 70, origin choice 2); the cell edges are 5.955, 13.880 and 24.699 Å and the angles 90.00°, 90.00° and 90.00°. The asymmetric unit holds K at (0.125, 0.125, 0.308), Ta at (0.125, 0.125, 0.625), Au at (0.125, 0.125, 0.125) and Se at (0.098, 0.270, 0.816).

No. 2
YFe2Re2: optimized geometry, GGA-PBE.

For the energy above the lowest structure with this stoichiometry, the calculation gives 199.2 meV/atom. Its formation energy is 0.244 eV/atom. The value obtained for the density of states at the Fermi level is 16.38 states/eV/cell. Its volume is 150.9 Å³/cell.

The structure belongs to space group P4/mbm (No. 127); the cell edges are 7.444, 7.444 and 2.723 Å and the angles 90.00°, 90.00° and 90.00°. The asymmetric unit holds Y at (0.000, 0.000, 0.000), Fe at (0.123, 0.377, 0.000) and Re at (0.164, 0.664, 0.500).